# 1
Compound: YThMn2
Source: Alexandria
Functional: PBE
Structure: relaxed

Cell: 3.6200 4.9820 4.9820 Å, 90.00 90.00 90.00°
Each line ends with the local moment (μB).
Atoms (fractional coordinates):
Th (0.5000, 0.5000, 0.5000)  -0.35
Mn (0.0000, 0.5000, 0.0000)  3.19
Mn (0.0000, 0.0000, 0.5000)  3.19
Y (0.5000, 0.0000, 0.0000)  -0.23

Calculated values
* total energy: -7.854 eV per atom
* density: 7962 kg/m3
* calculated formation energy: 0.202 eV/atom
* space-group type: P4/mmm

=====

# 2
Compound: Y3Th3Mn23
Source: Alexandria
Functional: PBE
Structure: relaxed

Cell: 8.5496 8.5496 8.5496 Å, 60.26 60.26 60.26°
Each line ends with the local moment (μB).
Atoms (fractional coordinates):
Mn (0.3192, 0.3192, 0.0379)  1.44
Mn (0.3686, 0.8751, 0.8751)  1.95
Mn (0.8776, 0.8776, 0.8776)  1.94
Mn (0.1213, 0.1213, 0.6345)  2.00
Mn (0.4978, 0.4978, 0.0135)  -2.31
Mn (0.4943, 0.9979, 0.9979)  -2.34
Mn (0.6765, 0.9659, 0.6765)  1.53
Mn (0.0379, 0.3192, 0.3192)  1.44
Mn (0.3237, 0.3237, 0.3237)  1.84
Mn (0.1213, 0.6345, 0.1213)  2.00
Mn (0.0135, 0.4978, 0.4978)  -2.31
Mn (0.9659, 0.6765, 0.6765)  1.53
Mn (0.9979, 0.4943, 0.9979)  -2.34
Mn (0.4978, 0.0135, 0.4978)  -2.31
Mn (0.6345, 0.1213, 0.1213)  2.00
Mn (0.1225, 0.1225, 0.1225)  1.98
Mn (0.3192, 0.0379, 0.3192)  1.44
Mn (0.9979, 0.9979, 0.4943)  -2.34
Mn (0.8751, 0.8751, 0.3686)  1.95
Mn (0.8751, 0.3686, 0.8751)  1.95
Mn (0.6765, 0.6765, 0.9659)  1.53
Mn (0.0035, 0.0035, 0.0035)  -2.88
Mn (0.6779, 0.6779, 0.6779)  -1.55
Y (0.7075, 0.2939, 0.2939)  -0.02
Y (0.2939, 0.7075, 0.2939)  -0.02
Y (0.2939, 0.2939, 0.7075)  -0.02
Th (0.7082, 0.2929, 0.7082)  -0.01
Th (0.7082, 0.7082, 0.2929)  -0.01
Th (0.2929, 0.7082, 0.7082)  -0.01

Calculated values
* total energy: -8.660 eV per atom
* density: 8317 kg/m3
* calculated formation energy: 0.049 eV/atom
* space-group type: R3m

=====

# 3
Compound: Th2Mn2Zn15
Source: Alexandria
Functional: PBE
Structure: relaxed

Cell: 6.8365 6.8365 6.8365 Å, 82.81 82.81 82.81°
Each line ends with the local moment (μB).
Atoms (fractional coordinates):
Zn (0.5000, 0.0000, 0.0000)  -0.02
Zn (0.0000, 0.7176, 0.2824)  0.00
Zn (0.1534, 0.6483, 0.6483)  -0.01
Zn (0.3517, 0.8466, 0.3517)  -0.01
Zn (0.7176, 0.2824, 0.0000)  0.00
Zn (0.8466, 0.3517, 0.3517)  -0.01
Zn (0.2824, 0.7176, 0.0000)  0.00
Zn (0.6483, 0.6483, 0.1534)  -0.01
Zn (0.0000, 0.5000, 0.0000)  -0.02
Zn (0.6483, 0.1534, 0.6483)  -0.01
Zn (0.7176, 0.0000, 0.2824)  0.00
Zn (0.0000, 0.2824, 0.7176)  0.00
Zn (0.3517, 0.3517, 0.8466)  -0.01
Zn (0.0000, 0.0000, 0.5000)  -0.02
Zn (0.2824, 0.0000, 0.7176)  0.00
Mn (0.1000, 0.1000, 0.1000)  3.29
Mn (0.9000, 0.9000, 0.9000)  3.29
Th (0.3374, 0.3374, 0.3374)  -0.01
Th (0.6626, 0.6626, 0.6626)  -0.01

Calculated values
* total energy: -2.910 eV per atom
* density: 8262 kg/m3
* calculated formation energy: -0.158 eV/atom
* space-group type: R-3m

=====

# 4
Compound: ThMnZn4
Source: Alexandria
Functional: PBE
Structure: relaxed

Cell: 5.3171 5.3171 5.3171 Å, 60.00 60.00 60.00°
Each line ends with the local moment (μB).
Atoms (fractional coordinates):
Zn (0.6235, 0.1295, 0.6235)  -0.07
Zn (0.6235, 0.6235, 0.1295)  -0.07
Zn (0.6235, 0.6235, 0.6235)  -0.07
Zn (0.1295, 0.6235, 0.6235)  -0.07
Mn (0.2500, 0.2500, 0.2500)  3.12
Th (0.0000, 0.0000, 0.0000)  -0.33

Calculated values
* total energy: -3.626 eV per atom
* density: 8571 kg/m3
* calculated formation energy: -0.012 eV/atom
* space-group type: F-43m

=====

# 5
Compound: Th2MnZn
Source: Alexandria
Functional: PBE
Structure: relaxed

Cell: 5.1219 5.1219 5.1219 Å, 60.00 60.00 60.00°
Each line ends with the local moment (μB).
Atoms (fractional coordinates):
Th (0.7500, 0.7500, 0.7500)  -0.25
Th (0.2500, 0.2500, 0.2500)  -0.25
Mn (0.0000, 0.0000, 0.0000)  2.69
Zn (0.5000, 0.5000, 0.5000)  0.00

Calculated values
* offset from the most stable computed form: 20 meV/atom
* total energy: -6.236 eV per atom
* density: 10214 kg/m3
* calculated formation energy: 0.085 eV/atom
* space-group type: Fm-3m

=====

# 6
Compound: ThMnZn2
Source: Alexandria
Functional: PBE
Structure: relaxed

Cell: 3.2912 3.2912 7.0826 Å, 90.00 90.00 90.00°
Each line ends with the local moment (μB).
Atoms (fractional coordinates):
Mn (0.5000, 0.5000, 0.0000)  3.53
Th (0.5000, 0.5000, 0.5000)  -0.04
Zn (0.0000, 0.0000, 0.8106)  -0.03
Zn (0.0000, 0.0000, 0.1894)  -0.03

Calculated values
* total energy: -4.781 eV per atom
* density: 9043 kg/m3
* calculated formation energy: 0.003 eV/atom
* space-group type: P4/mmm

=====

# 7
Compound: Th3MnZn
Source: Alexandria
Functional: PBE
Structure: relaxed

Cell: 5.1743 5.1743 5.1743 Å, 90.00 90.00 90.00°
Atoms (fractional coordinates):
Zn (0.5000, 0.5000, 0.5000)
Th (0.5000, 0.0000, 0.0000)
Th (0.0000, 0.0000, 0.5000)
Th (0.0000, 0.5000, 0.0000)
Mn (0.0000, 0.0000, 0.0000)

Calculated values
* total energy: -6.457 eV per atom
* density: 9786 kg/m3
* calculated formation energy: 0.083 eV/atom
* space-group type: Pm-3m

=====

# 8
Compound: Th2MnZn
Source: Alexandria
Functional: PBE
Structure: relaxed

Cell: 3.3097 3.3097 10.8182 Å, 81.20 81.20 60.00°
Each line ends with the local moment (μB).
Atoms (fractional coordinates):
Zn (0.5000, 0.5000, 0.5000)  0.01
Th (0.0866, 0.0866, 0.7403)  -0.16
Th (0.9134, 0.9134, 0.2597)  -0.16
Mn (0.0000, 0.0000, 0.0000)  3.24

Calculated values
* offset from the most stable computed form: 449 meV/atom
* total energy: -5.807 eV per atom
* density: 9607 kg/m3
* calculated formation energy: 0.514 eV/atom
* space-group type: R-3m

=====

# 9
Compound: ThMnZn11
Source: Alexandria
Functional: PBE
Structure: relaxed

Cell: 5.2544 6.8413 6.8500 Å, 81.58 67.45 67.54°
Each line ends with the local moment (μB).
Atoms (fractional coordinates):
Zn (0.5011, 0.2224, 0.7784)  0.00
Zn (0.4989, 0.7776, 0.2216)  0.00
Zn (0.2795, 0.2224, 0.2216)  0.00
Zn (0.0000, 0.5000, 0.0000)  -0.03
Zn (0.6305, 0.3573, 0.3508)  0.01
Zn (0.0000, 0.0000, 0.5000)  0.01
Zn (0.9812, 0.3573, 0.6492)  0.01
Zn (0.5000, 0.0000, 0.5000)  0.01
Zn (0.0188, 0.6427, 0.3508)  0.01
Zn (0.7205, 0.7776, 0.7784)  0.00
Zn (0.3695, 0.6427, 0.6492)  0.01
Mn (0.5000, 0.5000, 0.0000)  3.20
Th (0.0000, 0.0000, 0.0000)  0.00

Calculated values
* total energy: -2.489 eV per atom
* density: 7952 kg/m3
* calculated formation energy: -0.135 eV/atom
* space-group type: C2/m

=====

# 10
Compound: Th6Mn2Zn
Source: Alexandria
Functional: PBE
Structure: relaxed

Cell: 8.4642 8.4642 8.4641 Å, 105.29 110.17 113.04°
Atoms (fractional coordinates):
Th (0.6891, 0.3636, 0.6746)
Th (0.6891, 0.0145, 0.3254)
Th (0.5380, 0.7254, 0.8126)
Th (0.3109, 0.6364, 0.3254)
Th (0.8012, 0.2458, 0.0470)
Th (0.8012, 0.7542, 0.5554)
Th (0.4620, 0.2746, 0.1874)
Th (0.1988, 0.2458, 0.4446)
Th (0.1988, 0.7542, 0.9530)
Th (0.3109, 0.9855, 0.6746)
Th (0.9128, 0.7254, 0.1874)
Th (0.0872, 0.2746, 0.8126)
Mn (0.5000, 0.6048, 0.1048)
Mn (0.5000, 0.3952, 0.8952)
Mn (0.6616, 0.0000, 0.6616)
Mn (0.3384, 0.0000, 0.3384)
Zn (0.0000, 0.0000, 0.0000)
Zn (0.0000, 0.5000, 0.5000)

Calculated values
* total energy: -7.101 eV per atom
* density: 11204 kg/m3
* calculated formation energy: 0.025 eV/atom
* space-group type: Immm

=====

# 11
Compound: ThMnZn2
Source: Alexandria
Functional: PBE
Structure: relaxed

Cell: 4.2756 4.2756 5.7372 Å, 68.12 68.12 60.00°
Each line ends with the local moment (μB).
Atoms (fractional coordinates):
Mn (0.5000, 0.5000, 0.5000)  3.43
Zn (0.7916, 0.7916, 0.6252)  -0.04
Zn (0.2084, 0.2084, 0.3748)  -0.04
Th (0.0000, 0.0000, 0.0000)  -0.19

Calculated values
* total energy: -4.785 eV per atom
* density: 8462 kg/m3
* calculated formation energy: 0.000 eV/atom
* space-group type: R-3m

=====

# 12
Compound: Th2MnZn
Source: Alexandria
Functional: PBE
Structure: relaxed

Cell: 3.7128 5.0633 5.0633 Å, 90.00 90.00 90.00°
Each line ends with the local moment (μB).
Atoms (fractional coordinates):
Zn (0.5000, 0.0000, 0.0000)  0.00
Th (0.0000, 0.5000, 0.0000)  -0.21
Th (0.0000, 0.0000, 0.5000)  -0.21
Mn (0.5000, 0.5000, 0.5000)  2.93

Calculated values
* offset from the most stable computed form: 0 meV/atom
* total energy: -6.256 eV per atom
* density: 10196 kg/m3
* calculated formation energy: 0.065 eV/atom
* space-group type: P4/mmm